1.
ErThHg4 | the Alexandria database | PBE | relaxed; energy relative to the elements = -1.51 eV per formula unit; excess energy over the best structure of this formula in the dataset = 54 meV per atom; size of the total moment = 0.0000 μB per atom
1.0
3.380 0.000 0.978
2.019 6.002 -0.649
-0.435 -2.478 7.837
Hg Th Er
4 1 1
Direct
0.348 0.980 0.324
0.178 0.490 0.153
0.652 0.020 0.676
0.822 0.510 0.847
0.500 0.500 0.500
0.000 0.000 0.000

=====

2.
ErThHg3 | the Alexandria database | PBE | relaxed; energy relative to the elements = -1.61 eV per formula unit; excess energy over the best structure of this formula in the dataset = 0 meV per atom; size of the total moment = 0.0000 μB per atom
1.0
-1.583 -0.765 -3.056
3.693 -3.104 -1.135
-6.449 -10.609 8.029
Hg Er Th
6 2 2
Direct
0.683 0.250 0.366
0.317 0.750 0.634
0.376 0.250 0.752
0.475 0.250 0.951
0.525 0.750 0.049
0.624 0.750 0.248
0.788 0.250 0.576
0.212 0.750 0.424
0.924 0.750 0.847
0.076 0.250 0.153

=====

Respective VASP energy values: -2.450; -2.899 eV/atom.